No. 1
Compound: Dy3TmPb4
Source: the Alexandria database
Functional: PBE-GGA
Structure: relaxed

For the energy of formation, the calculation gives -3.45 eV/f.u. As for the total DFT energy (no corrections): -4.570 eV/atom.

The space group is Pmna (No. 53) and the conventional cell measures 11.117, 6.393 and 6.395 Å, with angles of 90.00, 90.00 and 90.00 degrees. Symmetry generates all atoms from Dy at (0.000, 0.000, 0.000), Dy at (0.250, 0.251, 0.250), Tm at (0.000, 0.500, 0.500), Pb at (0.000, 0.000, 0.500), Pb at (0.000, 0.500, 0.000) and Pb at (0.250, 0.249, 0.750).


No. 2
Compound: Dy4TmPb5
Source: the Alexandria database
Functional: PBE-GGA
Structure: relaxed

For the energy of formation, the calculation gives -4.22 eV/f.u. As for the total DFT energy (no corrections): -4.564 eV/atom.

The space group is P4/mmm (No. 123) and the conventional cell measures 3.530, 3.530 and 22.387 Å, with angles of 90.00, 90.00 and 90.00 degrees. Symmetry generates all atoms from Dy at (0.000, 0.000, 0.100), Dy at (0.000, 0.000, 0.301), Tm at (0.000, 0.000, 0.500), Pb at (0.500, 0.500, 0.000), Pb at (0.500, 0.500, 0.201) and Pb at (0.500, 0.500, 0.402).


No. 3
Compound: Dy4Tm4Pb
Source: the Alexandria database
Functional: PBE-GGA
Structure: relaxed

For the energy of formation, the calculation gives -0.76 eV/f.u. As for the total DFT energy (no corrections): -4.529 eV/atom.

The space group is I4/mmm (No. 139) and the conventional cell measures 10.632, 10.632 and 4.796 Å, with angles of 90.00, 90.00 and 90.00 degrees. Symmetry generates all atoms from Dy at (0.163, 0.163, 0.000), Tm at (0.000, 0.338, 0.500) and Pb at (0.000, 0.000, 0.500).


No. 4
Compound: DyTmPb2
Source: the Alexandria database
Functional: PBE-GGA
Structure: relaxed

For the energy of formation, the calculation gives -1.58 eV/f.u. As for the total DFT energy (no corrections): -4.517 eV/atom.

The space group is P4/mmm (No. 123) and the conventional cell measures 5.048, 5.048 and 4.387 Å, with angles of 90.00, 90.00 and 90.00 degrees. Symmetry generates all atoms from Dy at (0.000, 0.000, 0.000), Tm at (0.500, 0.500, 0.000) and Pb at (0.000, 0.500, 0.500).


No. 5
Compound: DyTm3Pb2
Source: the Alexandria database
Functional: PBE-GGA
Structure: relaxed

For the energy of formation, the calculation gives -2.30 eV/f.u. As for the total DFT energy (no corrections): -4.622 eV/atom.

The space group is P-4m2 (No. 115) and the conventional cell measures 4.528, 4.528 and 8.440 Å, with angles of 90.00, 90.00 and 90.00 degrees. Symmetry generates all atoms from Dy at (0.000, 0.000, 0.000), Tm at (0.000, 0.500, 0.339), Tm at (0.500, 0.500, 0.000) and Pb at (0.000, 0.500, 0.713).


No. 6
Compound: DyTm2Pb2
Source: the Alexandria database
Functional: PBE-GGA
Structure: relaxed

For the energy of formation, the calculation gives -1.48 eV/f.u. As for the total DFT energy (no corrections): -4.489 eV/atom.

The space group is Pmma (No. 51) and the conventional cell measures 6.605, 4.562 and 10.086 Å, with angles of 90.00, 90.00 and 90.00 degrees. Symmetry generates all atoms from Dy at (0.000, 0.000, 0.000), Tm at (0.250, 0.000, 0.357), Tm at (0.250, 0.500, 0.767), Pb at (0.000, 0.500, 0.500) and Pb at (0.250, 0.500, 0.134).


No. 7
Compound: DyTm3Pb12
Source: the Alexandria database
Functional: PBE-GGA
Structure: relaxed

For the energy of formation, the calculation gives -3.80 eV/f.u. As for the total DFT energy (no corrections): -4.145 eV/atom.

The space group is P4/mmm (No. 123) and the conventional cell measures 4.904, 4.904 and 19.183 Å, with angles of 90.00, 90.00 and 90.00 degrees. Symmetry generates all atoms from Dy at (0.000, 0.000, 0.000), Tm at (0.000, 0.000, 0.250), Tm at (0.000, 0.000, 0.500), Pb at (0.000, 0.500, 0.126), Pb at (0.000, 0.500, 0.375), Pb at (0.500, 0.500, 0.000), Pb at (0.500, 0.500, 0.250) and Pb at (0.500, 0.500, 0.500).


No. 8
Compound: DyTmPb2
Source: the Alexandria database
Functional: PBE-GGA
Structure: relaxed

For the energy of formation, the calculation gives -1.61 eV/f.u. As for the total DFT energy (no corrections): -4.525 eV/atom.

The space group is P4/mmm (No. 123) and the conventional cell measures 3.535, 3.535 and 8.885 Å, with angles of 90.00, 90.00 and 90.00 degrees. Symmetry generates all atoms from Dy at (0.000, 0.000, 0.000), Tm at (0.000, 0.000, 0.500) and Pb at (0.500, 0.500, 0.253).